No. 1
A geometry-optimized Li3Pm2Ag4 structure. Source: the Alexandria database, functional GGA-PBE.

The structure in extended XYZ format:
```
18
Lattice="2.862 -8.027 0.000 2.862 8.027 0.000 0.000 0.000 8.164" Properties=species:S:1:pos:R:3 pbc="T T T"
Li 0.000 0.000 0.000
Li 1.431 3.512 2.041
Li 1.431 -3.512 6.123
Li 2.862 0.000 4.082
Li 4.294 3.512 2.041
Li 4.294 -3.512 6.123
Pm 2.862 6.232 3.339
Pm 2.862 1.795 7.421
Pm 2.862 -1.795 0.743
Pm 2.862 -6.232 4.825
Ag 2.862 5.053 0.239
Ag 1.431 0.879 2.041
Ag 1.431 -0.879 6.123
Ag 2.862 2.974 4.321
Ag 2.862 -2.974 3.843
Ag 4.294 0.879 2.041
Ag 4.294 -0.879 6.123
Ag 2.862 -5.053 7.925
```

Results
space group = Cmce, No. 64
ρ = 6.57 g/cm³

=====

No. 2
A geometry-optimized LiPmAg2 structure. Source: the Alexandria database, functional GGA-PBE.

The structure in extended XYZ format:
```
4
Lattice="2.326 1.343 4.746 -2.326 1.343 4.746 0.000 -2.686 4.746" Properties=species:S:1:pos:R:3 pbc="T T T"
Li 0.000 0.000 0.000
Pm 0.000 0.000 7.119
Ag 0.000 0.000 4.032
Ag 0.000 0.000 10.206
```

Results
space group = R-3m, No. 166
ρ = 6.86 g/cm³
excess energy over the best structure of this formula in the dataset = 0.001 eV per atom

=====

No. 3
A geometry-optimized Li4PmAg2 structure. Source: the Alexandria database, functional GGA-PBE.

The structure in extended XYZ format:
```
14
Lattice="7.981 0.000 0.000 0.000 7.981 0.000 0.000 0.000 4.391" Properties=species:S:1:pos:R:3 pbc="T T T"
Li 0.760 2.786 0.000
Li 1.204 4.751 2.195
Li 2.786 0.760 0.000
Li 3.231 6.777 2.195
Li 4.751 1.204 2.195
Li 5.195 7.221 0.000
Li 6.777 3.231 2.195
Li 7.221 5.195 0.000
Pm 0.000 0.000 2.195
Pm 3.991 3.991 0.000
Ag 1.713 6.268 0.000
Ag 2.278 2.278 2.195
Ag 5.704 5.704 2.195
Ag 6.268 1.713 0.000
```

Results
space group = P4_2/mnm, No. 136
ρ = 4.61 g/cm³

=====

| no. | ΔE_f (eV/atom) |
| --- | --- |
| 1 | -0.183 |
| 2 | -0.220 |
| 3 | -0.143 |